Material: Pr12Co6Hg
Method: DFT, GGA-PBE
State: optimized geometry

```
Pr12Co6Hg
1.0
5.199 -0.532 6.978
-1.193 8.376 -2.104
-7.698 -3.663 1.826
Co Hg Pr
6 1 12
direct
0.500 0.611 0.111
0.889 0.500 0.389
0.611 0.111 0.500
0.389 0.889 0.500
0.111 0.500 0.611
0.500 0.389 0.889
0.000 0.000 0.000
0.306 0.807 0.113
0.499 0.306 0.193
0.887 0.694 0.193
0.193 0.499 0.306
0.807 0.113 0.306
0.306 0.193 0.499
0.694 0.807 0.501
0.807 0.501 0.694
0.193 0.887 0.694
0.113 0.306 0.807
0.501 0.694 0.807
0.694 0.193 0.887
```

Space group   No. 204
Crystal system   cubic
Formation energy from the elements   -113 meV/atom


Material: DyErCd2Cu4
Method: DFT, GGA-PBE
State: optimized geometry

```
DyErCd2Cu4
1.0
4.667 0.000 0.000
0.000 4.667 0.000
0.000 0.000 6.599
Cd Cu Dy Er
2 4 1 1
direct
0.500 0.500 0.000
0.000 0.000 0.500
0.500 0.000 0.253
0.000 0.500 0.253
0.500 0.000 0.747
0.000 0.500 0.747
0.000 0.000 0.000
0.500 0.500 0.500
```

Space group   No. 123
Crystal system   tetragonal
Formation energy from the elements   -213 meV/atom


Material: ZrGaCoAg
Method: DFT, GGA-PBE
State: optimized geometry

```
ZrGaCoAg
1.0
-2.853 -2.642 -2.286
-3.841 1.710 -1.633
-0.512 0.552 -4.447
Ag Co Ga Zr
1 1 1 1
direct
0.500 0.500 0.500
0.750 0.750 0.750
0.000 0.000 0.000
0.250 0.250 0.250
```

E above lowest polymorph   101 meV/atom
Space group   No. 216
Crystal system   cubic


Material: BaTaN2O
Method: DFT, GGA-PBE
State: optimized geometry

```
BaTaN2O
1.0
-0.105 2.341 5.888
-0.301 -3.839 1.521
7.553 -1.527 -2.358
Ba N O Ta
2 4 2 2
direct
0.684 0.250 0.363
0.316 0.750 0.637
0.092 0.250 0.116
0.929 0.750 0.307
0.071 0.250 0.693
0.908 0.750 0.884
0.407 0.750 0.324
0.593 0.250 0.676
0.103 0.750 0.162
0.897 0.250 0.838
```

Space group   No. 11
Crystal system   monoclinic


Material: Hf2InAg
Method: DFT, GGA-PBE
State: optimized geometry

```
Hf2InAg
1.0
2.030 -2.401 3.812
-2.657 -3.304 2.536
1.032 -4.817 -0.381
Ag Hf In
1 2 1
direct
0.250 0.250 0.250
0.000 0.000 0.000
0.750 0.750 0.750
0.500 0.500 0.500
```

Space group   No. 216
Crystal system   cubic


Material: NaTcF6
Method: DFT, GGA-PBE
State: optimized geometry

```
NaTcF6
1.0
-0.724 -2.479 4.093
3.775 -1.255 2.769
0.617 2.754 4.632
F Na Tc
6 1 1
direct
0.588 0.223 0.234
0.955 0.589 0.234
0.222 0.956 0.234
0.778 0.044 0.766
0.045 0.411 0.766
0.412 0.777 0.766
0.500 0.500 0.500
0.000 0.000 0.000
```

Space group   No. 2
Crystal system   triclinic


Material: KLaCoSe3
Method: DFT, GGA-PBE
State: optimized geometry

```
KLaCoSe3
1.0
1.064 7.305 1.637
-2.416 7.122 -0.784
-6.476 -1.163 9.396
Co K La Se
2 2 2 6
direct
0.466 0.466 0.250
0.534 0.534 0.750
0.743 0.743 0.250
0.257 0.257 0.750
0.000 0.000 0.000
0.000 0.000 0.500
0.369 0.369 0.080
0.061 0.061 0.250
0.369 0.369 0.420
0.631 0.631 0.580
0.939 0.939 0.750
0.631 0.631 0.920
```

E above lowest polymorph   7 meV/atom
Space group   No. 63
Crystal system   orthorhombic


Material: Lu3Re3W2N12
Method: DFT, GGA-PBE
State: optimized geometry

```
Lu3Re3W2N12
1.0
-8.342 1.011 6.917
-1.730 6.287 -8.713
0.875 -10.385 -3.136
Lu N Re W
12 48 12 8
direct
0.250 0.375 0.125
0.375 0.750 0.125
0.375 0.125 0.250
0.875 0.625 0.250
0.750 0.125 0.375
0.125 0.250 0.375
0.875 0.750 0.625
0.250 0.875 0.625
0.125 0.375 0.750
0.625 0.875 0.750
0.625 0.250 0.875
0.750 0.625 0.875
0.205 0.120 0.024
0.319 0.904 0.024
0.880 0.404 0.085
0.705 0.681 0.085
0.620 0.415 0.096
0.976 0.681 0.096
0.024 0.205 0.120
0.596 0.915 0.120
0.205 0.585 0.181
0.476 0.596 0.181
0.120 0.024 0.205
0.585 0.181 0.205
0.476 0.380 0.295
0.319 0.915 0.295
0.904 0.024 0.319
0.915 0.295 0.319
0.295 0.476 0.380
0.585 0.904 0.380
0.819 0.524 0.404
0.085 0.880 0.404
0.096 0.620 0.415
0.819 0.795 0.415
0.596 0.181 0.476
0.380 0.295 0.476
0.620 0.705 0.524
0.404 0.819 0.524
0.181 0.205 0.585
0.904 0.380 0.585
0.915 0.120 0.596
0.181 0.476 0.596
0.415 0.096 0.620
0.705 0.524 0.620
0.096 0.976 0.681
0.085 0.705 0.681
0.681 0.085 0.705
0.524 0.620 0.705
0.415 0.819 0.795
0.880 0.976 0.795
0.524 0.404 0.819
0.795 0.415 0.819
0.976 0.795 0.880
0.404 0.085 0.880
0.024 0.319 0.904
0.380 0.585 0.904
0.295 0.319 0.915
0.120 0.596 0.915
0.681 0.096 0.976
0.795 0.880 0.976
0.875 0.250 0.125
0.750 0.875 0.125
0.625 0.375 0.250
0.125 0.875 0.250
0.250 0.625 0.375
0.625 0.750 0.375
0.375 0.250 0.625
0.750 0.375 0.625
0.875 0.125 0.750
0.375 0.625 0.750
0.250 0.125 0.875
0.125 0.750 0.875
0.000 0.000 0.000
0.500 0.000 0.000
0.000 0.500 0.000
0.500 0.500 0.000
0.000 0.000 0.500
0.500 0.000 0.500
0.000 0.500 0.500
0.500 0.500 0.500
```

Space group   No. 230
Crystal system   cubic


Material: Tb2HgC4
Method: DFT, GGA-PBE
State: optimized geometry

```
Tb2HgC4
1.0
-4.300 5.385 2.611
4.300 -5.385 2.611
4.300 5.385 -2.611
C Hg Tb
8 2 4
direct
0.291 0.863 0.154
0.412 0.854 0.266
0.791 0.637 0.429
0.088 0.354 0.442
0.912 0.646 0.558
0.209 0.363 0.571
0.588 0.146 0.734
0.709 0.137 0.846
0.250 0.250 0.000
0.750 0.750 0.000
0.867 0.344 0.211
0.633 0.844 0.477
0.367 0.156 0.523
0.133 0.656 0.789
```

Space group   No. 72
Crystal system   orthorhombic


Material: ZnCoAsPd
Method: DFT, GGA-PBE
State: optimized geometry

```
ZnCoAsPd
1.0
1.998 -3.017 2.382
-1.371 -0.842 4.022
-1.995 -3.746 0.869
As Co Pd Zn
1 1 1 1
direct
0.000 0.000 0.000
0.750 0.750 0.750
0.500 0.500 0.500
0.250 0.250 0.250
```

E above lowest polymorph   112 meV/atom
Space group   No. 216
Crystal system   cubic


Material: ErCuGeTeS2
Method: DFT, GGA-PBE
State: optimized geometry

```
ErCuGeTeS2
1.0
0.483 6.618 -1.714
-1.195 -6.418 -2.085
-10.523 1.296 2.040
Cu Er Ge S Te
2 2 2 4 2
direct
0.522 0.478 0.250
0.478 0.522 0.750
0.000 0.000 0.000
0.000 0.000 0.500
0.191 0.809 0.250
0.809 0.191 0.750
0.629 0.371 0.079
0.629 0.371 0.421
0.371 0.629 0.579
0.371 0.629 0.921
0.886 0.114 0.250
0.114 0.886 0.750
```

Space group   No. 63
Crystal system   orthorhombic


Material: LaZrIn
Method: DFT, GGA-PBE
State: optimized geometry

```
LaZrIn
1.0
0.000 3.619 3.619
3.619 0.000 3.619
3.619 3.619 0.000
In La Zr
1 1 1
direct
0.000 0.000 0.000
0.250 0.250 0.250
0.750 0.750 0.750
```

E above lowest polymorph   0 meV/atom
Space group   No. 216
Crystal system   cubic


Material: Dy3MgCdIn3Ag
Method: DFT, GGA-PBE
State: optimized geometry

```
Dy3MgCdIn3Ag
1.0
8.090 0.000 0.000
-4.045 7.006 0.000
0.000 0.000 3.897
Ag Cd Dy In Mg
1 1 3 3 1
direct
0.000 0.000 0.000
0.667 0.333 0.500
0.613 0.004 0.000
0.391 0.387 0.000
0.996 0.609 0.000
0.009 0.271 0.500
0.729 0.737 0.500
0.263 0.991 0.500
0.333 0.667 0.500
```

Space group   No. 174
Crystal system   hexagonal


Material: GdUMo
Method: DFT, GGA-PBE
State: optimized geometry

```
GdUMo
1.0
0.000 3.364 3.364
3.364 0.000 3.364
3.364 3.364 0.000
Gd Mo U
1 1 1
direct
0.250 0.250 0.250
0.000 0.000 0.000
0.750 0.750 0.750
```

E above lowest polymorph   0 meV/atom
Space group   No. 216
Crystal system   cubic
Formation energy from the elements   802 meV/atom


Material: NaReTe4Au3
Method: DFT, GGA-PBE
State: optimized geometry

```
NaReTe4Au3
1.0
6.584 0.000 0.000
0.000 6.584 0.000
0.000 0.000 6.584
Au Na Re Te
3 1 1 4
direct
0.500 0.500 0.000
0.500 0.000 0.500
0.000 0.500 0.500
0.000 0.000 0.000
0.500 0.500 0.500
0.268 0.268 0.268
0.732 0.732 0.268
0.732 0.268 0.732
0.268 0.732 0.732
```

Space group   No. 215
Crystal system   cubic


Material: Ta4FeB3
Method: DFT, GGA-PBE
State: optimized geometry

```
Ta4FeB3
1.0
3.217 0.000 0.000
-1.609 2.786 0.000
0.000 0.000 23.375
B Fe Ta
6 2 8
direct
0.000 0.000 0.000
0.667 0.333 0.115
0.667 0.333 0.385
0.000 0.000 0.500
0.333 0.667 0.615
0.333 0.667 0.885
0.333 0.667 0.250
0.667 0.333 0.750
0.333 0.667 0.056
0.000 0.000 0.170
0.000 0.000 0.330
0.333 0.667 0.444
0.667 0.333 0.556
0.000 0.000 0.670
0.000 0.000 0.830
0.667 0.333 0.944
```

Space group   No. 194
Crystal system   hexagonal


Material: Pr2Nd2C2F5
Method: DFT, GGA-PBE
State: optimized geometry

```
Pr2Nd2C2F5
1.0
8.137 -1.850 0.000
8.137 1.850 0.000
-2.763 0.000 6.286
C F Nd Pr
2 5 2 2
direct
0.452 0.452 0.451
0.548 0.548 0.549
0.500 0.500 0.000
0.817 0.817 0.077
0.184 0.184 0.445
0.816 0.816 0.555
0.183 0.183 0.923
0.304 0.304 0.301
0.696 0.696 0.699
0.003 0.003 0.265
0.997 0.997 0.735
```

Space group   No. 12
Crystal system   monoclinic


Material: RbFeAgTeS2
Method: DFT, GGA-PBE
State: optimized geometry

```
RbFeAgTeS2
1.0
1.760 -8.336 0.000
1.760 8.336 0.000
0.000 0.000 10.676
Ag Fe Rb S Te
2 2 2 4 2
direct
0.447 0.553 0.250
0.553 0.447 0.750
0.000 0.000 0.000
0.000 0.000 0.500
0.770 0.230 0.250
0.230 0.770 0.750
0.410 0.590 0.029
0.410 0.590 0.471
0.590 0.410 0.529
0.590 0.410 0.971
0.081 0.919 0.250
0.919 0.081 0.750
```

Space group   No. 63
Crystal system   orthorhombic


Material: K2PdI3Cl
Method: DFT, GGA-PBE
State: optimized geometry

```
K2PdI3Cl
1.0
4.560 0.000 0.000
0.000 5.259 5.787
0.000 -5.259 5.787
Cl I K Pd
1 3 2 1
direct
0.000 0.212 0.212
0.000 0.751 0.253
0.000 0.253 0.751
0.000 0.779 0.779
0.500 0.474 0.026
0.500 0.026 0.474
0.000 0.004 0.004
```

Space group   No. 38
Crystal system   orthorhombic


Material: Pr2CoAgGe4
Method: DFT, GGA-PBE
State: optimized geometry

```
Pr2CoAgGe4
1.0
-0.919 -3.890 -1.749
-4.388 -2.297 7.416
-7.424 -0.458 4.919
Ag Co Ge Pr
1 1 4 2
direct
0.000 0.827 0.827
0.500 0.182 0.182
0.500 0.048 0.048
0.000 0.238 0.238
0.500 0.739 0.739
0.000 0.971 0.971
0.500 0.391 0.391
0.000 0.604 0.604
```

Space group   No. 38
Crystal system   orthorhombic


Values for final energy, eV/atom, ordered as above
-5.39; -3.44; -5.41; -8.44; -6.11; -5.07; -5.11; -9.40; -6.62; -4.52; -4.84; -5.21; -3.36; -8.13; -3.91; -9.87; -6.70; -4.19; -3.02; -5.30